[1]
A plane-wave DFT calculation with PBE was carried out for an optimized crystal structure of Nd8Ho5Mg.

Structure (CIF):
```
data_Nd8Ho5Mg
_cell_length_a 10.3852
_cell_length_b 10.3852
_cell_length_c 8.9309
_cell_angle_alpha 90.00
_cell_angle_beta 90.00
_cell_angle_gamma 90.00
_symmetry_space_group_name_H-M 'I -4'
_symmetry_Int_Tables_number 82
loop_
_symmetry_equiv_pos_as_xyz
'x,y,z'
'y,-x,-z'
'-x,-y,z'
'-y,x,-z'
'x+1/2,y+1/2,z+1/2'
'y+1/2,-x+1/2,-z+1/2'
'-x+1/2,-y+1/2,z+1/2'
'-y+1/2,x+1/2,-z+1/2'
loop_
_atom_site_label
_atom_site_fract_x
_atom_site_fract_y
_atom_site_fract_z
_atom_site_occupancy
Nd1 0.0035 0.3337 0.0745 1
Nd2 0.1635 0.7657 0.6970 1
Ho1 0.0000 0.0000 0.0000 1
Ho2 0.0967 0.8746 0.3529 1
Mg1 0.0000 0.5000 0.7500 1
```

Properties
E: -4.242 eV/atom
Density: 6.906 g cm⁻³
Formation enthalpy at 0 K: 0.231 eV per atom


[2]
A plane-wave DFT calculation with PBE was carried out for an optimized crystal structure of Nd2HoMg.

Structure (CIF):
```
data_Nd2HoMg
_cell_length_a 3.5564
_cell_length_b 3.4840
_cell_length_c 20.6475
_cell_angle_alpha 90.00
_cell_angle_beta 90.00
_cell_angle_gamma 90.00
_symmetry_space_group_name_H-M 'A m m 2'
_symmetry_Int_Tables_number 38
loop_
_symmetry_equiv_pos_as_xyz
'x,y,z'
'-x,-y,z'
'-x,y,z'
'x,-y,z'
'x,y+1/2,z+1/2'
'-x,-y+1/2,z+1/2'
'-x,y+1/2,z+1/2'
'x,-y+1/2,z+1/2'
loop_
_atom_site_label
_atom_site_fract_x
_atom_site_fract_y
_atom_site_fract_z
_atom_site_occupancy
Nd1 0.0000 0.0000 0.0000 1
Nd2 0.0000 0.0000 0.2297 1
Ho1 0.5000 0.0000 0.8526 1
Mg1 0.5000 0.0000 0.6138 1
```

Properties
E: -3.839 eV/atom
Density: 6.202 g cm⁻³
Distance to the lowest polymorph of the same formula: 0.1188 eV/atom
Formation enthalpy at 0 K: 0.088 eV per atom


[3]
A plane-wave DFT calculation with PBE was carried out for an optimized crystal structure of NdHo4Mg2.

Structure (CIF):
```
data_NdHo4Mg2
_cell_length_a 5.5267
_cell_length_b 5.5267
_cell_length_c 15.9597
_cell_angle_alpha 90.00
_cell_angle_beta 90.00
_cell_angle_gamma 90.00
_symmetry_space_group_name_H-M 'I 4/m m m'
_symmetry_Int_Tables_number 139
_symmetry_space_group_name_Hall '-I 4 2'
loop_
_atom_site_label
_atom_site_fract_x
_atom_site_fract_y
_atom_site_fract_z
_atom_site_occupancy
Nd1 0.0000 0.0000 0.0000 1
Ho1 0.0000 0.0000 0.1871 1
Ho2 0.0000 0.5000 0.0000 1
Mg1 0.0000 0.0000 0.3880 1
```

Properties
E: -3.064 eV/atom
Density: 5.808 g cm⁻³
Distance to the lowest polymorph of the same formula: 0.6497 eV/atom
Formation enthalpy at 0 K: 0.689 eV per atom


[4]
A plane-wave DFT calculation with PBE was carried out for an optimized crystal structure of Nd12Ho6Mg.

Structure (CIF):
```
data_Nd12Ho6Mg
_cell_length_a 12.1042
_cell_length_b 12.1042
_cell_length_c 15.3025
_cell_angle_alpha 90.00
_cell_angle_beta 90.00
_cell_angle_gamma 120.00
_symmetry_space_group_name_H-M 'R -3'
_symmetry_Int_Tables_number 148
_symmetry_space_group_name_Hall '-R 3'
loop_
_atom_site_label
_atom_site_fract_x
_atom_site_fract_y
_atom_site_fract_z
_atom_site_occupancy
Nd1 0.0057 0.8288 0.3121 1
Nd2 0.0464 0.1996 0.9154 1
Ho1 0.0220 0.5908 0.1906 1
Mg1 0.0000 0.0000 0.5000 1
```

Properties
E: -4.420 eV/atom
Density: 7.042 g cm⁻³
Distance to the lowest polymorph of the same formula: 0.0000 eV/atom
Formation enthalpy at 0 K: 0.121 eV per atom